This record from Alexandria describes crystalline ScMnCr at its relaxed geometry. The functional is PBE.

Unit cell a=4.953 b=4.953 c=4.953 alpha=90.49 beta=119.80 gamma=119.64
Atoms (fractional coordinates):
Sc  0.250  0.124  0.874
Sc  0.750  0.876  0.126
Mn  0.000  0.500  0.500
Cr  0.500  0.500  0.500
Cr  0.000  0.500  0.000
Mn  0.500  0.000  0.500

Output
DOS at the Fermi energy = 3.03 states/eV/f.u.
ΔE_f = -0.037 eV/atom
V = 14.38 A^3/atom
E above lowest polymorph = 0.000 eV per atom
DFT total energy = -50.471 eV for the cell shown